Entry from Alexandria via LeMat-Bulk: an optimized crystal structure of CsScFeF6 (PBE with a Hubbard U).

a b c (Å): 5.635 5.651 6.420
angles (deg): 89.80 89.90 60.34
Fractional coordinates of all 9 atoms:
1 Cs 0.000 0.000 0.000
2 Sc 0.333 0.334 0.500
3 Fe 0.669 0.667 0.500
4 F 0.011 0.382 0.324
5 F 0.016 0.599 0.680
6 F 0.387 0.599 0.320
7 F 0.390 0.009 0.678
8 F 0.607 0.003 0.327
9 F 0.613 0.385 0.671

Output
The calculation puts the density of states at the Fermi level at 0.0000 states/eV per atom. Its total energy is -5.9088 eV/atom.